## BaOs2Cl (GGA-PBEsol)

Data for a geometry-optimized BaOs2Cl structure.

a b c (Å): 2.990 2.987 9.489
angles (deg): 90.00 90.00 120.03
Fractional positions:
Os 0.000 0.000 0.787
Os 0.000 0.000 0.213
Ba 0.500 0.000 0.500
Cl 0.500 0.000 0.000

**Symmetry**: Cmmm, No. 65

## BaPCl2 (GGA-PBEsol)

Data for a geometry-optimized BaPCl2 structure.

a b c (Å): 4.196 4.423 6.473
angles (deg): 102.29 108.91 90.00
Fractional positions:
Ba 0.216 0.642 0.431
Cl 0.019 0.955 0.037
Cl 0.773 0.191 0.546
P 0.493 0.711 0.986

**Symmetry**: Cm, No. 8
**Energy relative to the lowest polymorph listed for this composition**: 1.58 kcal/mol of atoms

no.,raw formation energy (eV per atom)
1,1.491
2,-1.065